Entry from the Alexandria database: an optimized crystal structure of SrYTc2O8 (PBE-GGA).

- DFT total energy: -0.2850 Ha/atom
- Crystal system: trigonal
- DOS(E_F): 0.713 states/eV per atom

abc: 5.9130 5.9130 7.1760
angles: 90.00 90.00 120.00
With the nearest neighbours (Å) after each atom.
Element x y z (fractional)
Sr1 0.0000 0.0000 0.0000  6 O 2.66
Y1 0.0000 0.0000 0.5000  6 O 2.26
Tc1 0.6667 0.3333 0.2102  4 O 1.77-1.83
Tc2 0.3333 0.6667 0.7898  4 O 1.77-1.83
O1 0.3333 0.6667 0.0359  1 Tc 1.77
O2 0.3262 0.1633 0.2879  1 Tc 1.83
O3 0.8367 0.1628 0.2879  1 Tc 1.83
O4 0.6667 0.3333 0.9641  1 Tc 1.77
O5 0.1633 0.8372 0.7121  1 Tc 1.83
O6 0.6738 0.8367 0.7121  1 Tc 1.83
O7 0.1628 0.3262 0.7121  1 Tc 1.83
O8 0.8372 0.6738 0.2879  1 Tc 1.83